This record from Alexandria via LeMat-Bulk describes crystalline AgMo2Cl at its relaxed geometry. The functional is GGA-PBE.

a b c (Å): 3.2054 3.0702 8.0152
angles (deg): 90.00 98.95 90.00
With the nearest neighbours (Å) after each atom.
Space group Pm (No. 6)
One atom of each set of equivalent atoms:
Ag  0.0000  0.0000  0.0000 (multiplicity 1)  4 Mo 2.94-3.03, 4 Ag 3.07-3.21
Mo  0.2114  0.0000  0.4282 (multiplicity 1)  4 Mo 2.48-2.77, 2 Cl 2.51
Mo  0.5710  0.5000  0.2525 (multiplicity 1)  4 Mo 2.48-2.77
Cl  0.3509  0.5000  0.6782 (multiplicity 1)  2 Mo 2.51

Uncorrected energy = -6.398 eV/atom
Fermi-level density of states = 0.596 states/eV per atom
Distance to the lowest polymorph of the same formula = 0 meV per atom
Formation energy (no corrections) = 0.19 eV per atom



This record from Alexandria via LeMat-Bulk describes crystalline Cs4Tb3PrSe8 at its relaxed geometry. The functional is GGA-PBE.

a b c (Å): 8.6452 8.6452 25.1704
angles (deg): 90.00 90.00 120.00
With the nearest neighbours (Å) after each atom.
Space group R-3m (No. 166, hexagonal axes)
One atom of each set of equivalent atoms:
Cs  0.0000  0.0000  0.0000 (multiplicity 3)  6 Se 3.58
Cs  0.0000  0.5000  0.0000 (multiplicity 9)  6 Se 3.63-3.64
Tb  0.0000  0.5000  0.5000 (multiplicity 9)  6 Se 2.93-2.94
Pr  0.0000  0.0000  0.5000 (multiplicity 3)  6 Se 3.00
Se  0.0000  0.0000  0.2284 (multiplicity 6)  3 Tb 2.94
Se  0.0077  0.5039  0.7706 (multiplicity 18)  2 Tb 2.93, 1 Pr 3.00

Uncorrected energy = -4.850 eV/atom
Fermi-level density of states = 0.000 states/eV per atom
Formation energy (no corrections) = -1.73 eV per atom



> formation energy (no corrections) of number 1 (AgMo2Cl)?

0.19 eV per atom